1.
Entry from Alexandria via LeMat-Bulk: an optimized crystal structure of SrCu2Se (PBE).

Results
Final energy (eV per formula unit): -13.8
Energy relative to the elements, uncorrected (meV per atom): -100
SG: P4/mmm, No. 123

```
4
Lattice="-1.562 1.969 2.926 0.350 -3.096 2.270 5.277 1.783 1.618" Properties=species:S:1:pos:R:3 pbc="T T T"
Cu 0.181 0.061 0.055
Cu 2.458 0.830 0.754
Se 0.713 -0.117 3.003
Sr 3.352 0.774 3.812
```

2.
Entry from Alexandria via LeMat-Bulk: an optimized crystal structure of SrCu3Se3 (PBE).

Results
Relative energy among the computed polymorphs (eV per atom): 0.0000
Final energy (eV per formula unit): -29.0
Energy relative to the elements, uncorrected (meV per atom): -648
SG: R-3, No. 148

```
14
Lattice="7.030 0.000 0.000 3.515 6.088 0.000 3.515 2.029 7.235" Properties=species:S:1:pos:R:3 pbc="T T T"
Sr 7.030 4.059 7.229
Sr 7.030 4.059 0.006
Cu 8.227 6.022 4.493
Cu 8.132 2.040 4.493
Cu 4.731 4.114 4.493
Cu 9.329 4.004 2.742
Cu 5.928 6.077 2.742
Cu 5.833 2.095 2.742
Se 4.654 4.103 1.981
Se 8.180 1.979 1.981
Se 8.256 6.095 1.981
Se 5.804 2.023 5.254
Se 5.880 6.138 5.254
Se 9.406 4.015 5.254
```

3.
Entry from Alexandria via LeMat-Bulk: an optimized crystal structure of SrCu2Se (PBE).

Results
Final energy (eV per formula unit): -14.7
Energy relative to the elements, uncorrected (meV per atom): -337
SG: I4_1/amd, No. 141

```
8
Lattice="4.673 0.000 0.000 0.000 4.673 0.000 2.337 2.337 8.872" Properties=species:S:1:pos:R:3 pbc="T T T"
Sr 0.000 0.000 0.000
Sr 4.673 2.337 4.436
Cu 2.337 1.168 2.218
Cu 2.337 3.505 2.218
Cu 3.505 4.673 6.654
Cu 5.842 4.674 6.654
Se 2.337 2.337 0.000
Se 2.337 4.673 4.436
```

4.
Entry from Alexandria via LeMat-Bulk: an optimized crystal structure of SrCu2Se (PBE).

Results
Final energy (eV per formula unit): -15.4
Energy relative to the elements, uncorrected (meV per atom): -499
SG: P2/m, No. 10

```
4
Lattice="-2.519 1.960 -3.039 2.726 -1.088 -2.962 -2.466 -4.249 -0.697" Properties=species:S:1:pos:R:3 pbc="T T T"
Cu -1.762 -4.486 -1.433
Cu -0.573 -2.431 -1.094
Se -1.194 -0.354 -2.434
Sr -1.064 -3.023 -4.264
```

5.
Entry from Alexandria via LeMat-Bulk: an optimized crystal structure of SrCu3Se3 (PBE).

Results
Relative energy among the computed polymorphs (eV per atom): 0.0094
Final energy (eV per formula unit): -28.9
Energy relative to the elements, uncorrected (meV per atom): -639
SG: P6_3/m, No. 176

```
14
Lattice="-2.176 -3.551 -0.040 5.064 -3.019 -7.512 2.987 -1.931 8.861" Properties=species:S:1:pos:R:3 pbc="T T T"
Sr 3.828 -3.544 -2.064
Sr 2.047 -4.957 3.372
Cu 5.273 -4.499 3.979
Cu 1.622 -2.275 5.275
Cu 2.510 -2.770 0.925
Cu 0.601 -4.002 -2.671
Cu 4.253 -6.226 -3.966
Cu 3.365 -5.730 0.384
Se 1.137 -1.950 2.781
Se 4.597 -4.058 1.667
Se 3.671 -3.537 5.731
Se 4.737 -6.551 -1.472
Se 1.278 -4.443 -0.358
Se 2.203 -4.964 -4.423
```

6.
Entry from Alexandria via LeMat-Bulk: an optimized crystal structure of SrCu2Se (PBE).

Results
Final energy (eV per formula unit): -14.2
Energy relative to the elements, uncorrected (meV per atom): -214
SG: P2/m, No. 10

```
4
Lattice="-2.688 -1.002 2.921 2.566 -2.978 1.340 4.746 0.376 4.496" Properties=species:S:1:pos:R:3 pbc="T T T"
Cu 0.000 0.000 0.000
Cu -0.061 -1.990 2.131
Se 2.312 -1.802 4.379
Sr 2.373 0.188 2.248
```

7.
Entry from Alexandria via LeMat-Bulk: an optimized crystal structure of SrCu2Se (PBE).

Results
Final energy (eV per formula unit): -14.9
Energy relative to the elements, uncorrected (meV per atom): -396
SG: C2/m, No. 12

```
4
Lattice="-4.820 -3.937 1.798 -1.463 -4.845 4.043 -0.172 4.104 1.917" Properties=species:S:1:pos:R:3 pbc="T T T"
Cu -6.124 -5.133 7.080
Cu -3.558 -1.885 4.558
Se -4.841 -3.509 5.819
Sr -1.614 -1.170 1.940
```

8.
Entry from Alexandria via LeMat-Bulk: an optimized crystal structure of SrCuSe3 (PBE).

Results
Relative energy among the computed polymorphs (eV per atom): 0.0000
Final energy (eV per formula unit): -19.3
Energy relative to the elements, uncorrected (meV per atom): -623
SG: Pm-3m, No. 221

```
5
Lattice="4.924 0.000 0.000 0.000 4.924 0.000 0.000 0.000 4.924" Properties=species:S:1:pos:R:3 pbc="T T T"
Sr 2.462 2.462 2.462
Cu 0.000 0.000 0.000
Se 0.000 2.462 0.000
Se 0.000 0.000 2.462
Se 2.462 0.000 0.000
```

9.
Entry from Alexandria via LeMat-Bulk: an optimized crystal structure of SrCu2Se2 (PBE).

Results
Final energy (eV per formula unit): -20.9
Energy relative to the elements, uncorrected (meV per atom): -802
SG: Fddd, No. 70

```
10
Lattice="-5.931 -1.924 2.606 4.020 -5.310 1.148 2.250 5.541 2.490" Properties=species:S:1:pos:R:3 pbc="T T T"
Sr -0.990 -0.847 4.865
Sr 1.329 -0.847 1.379
Cu 3.656 -3.029 3.024
Cu 2.294 0.588 4.634
Cu -3.317 1.335 3.219
Cu -1.956 -2.281 1.610
Se 2.046 2.063 2.683
Se -1.566 0.138 1.803
Se 1.905 -1.832 4.441
Se -1.707 -3.756 3.560
```

10.
Entry from Alexandria via LeMat-Bulk: an optimized crystal structure of SrCu2Se2 (PBE).

Results
Final energy (eV per formula unit): -20.7
Energy relative to the elements, uncorrected (meV per atom): -781
SG: C2/c, No. 15

```
10
Lattice="-1.388 1.875 -5.745 -5.093 -1.849 3.015 2.648 5.703 2.826" Properties=species:S:1:pos:R:3 pbc="T T T"
Sr -3.634 0.041 2.767
Sr -0.200 5.689 -2.671
Cu -1.702 0.692 -1.966
Cu -1.863 2.614 1.401
Cu -2.132 5.038 2.062
Cu -1.971 3.115 -1.306
Se -1.828 2.407 -3.773
Se -0.470 4.324 0.234
Se -3.364 1.405 -0.138
Se -2.006 3.322 3.869
```

11.
Entry from Alexandria via LeMat-Bulk: an optimized crystal structure of SrCu3Se3 (PBE).

Results
Relative energy among the computed polymorphs (eV per atom): 0.0809
Final energy (eV per formula unit): -28.4
Energy relative to the elements, uncorrected (meV per atom): -567
SG: Pm-3n, No. 223

```
14
Lattice="-3.808 5.171 -2.248 -1.059 -3.321 -5.844 -5.539 -2.921 2.663" Properties=species:S:1:pos:R:3 pbc="T T T"
Sr -5.203 -0.535 -2.714
Sr 0.000 0.000 0.000
Cu -3.721 -0.168 0.770
Cu -1.914 -2.391 -2.256
Cu -2.698 0.095 -5.507
Cu -5.625 2.418 -0.355
Cu -4.683 -3.851 -0.924
Cu -2.169 1.755 -2.585
Se -3.034 -2.291 -0.129
Se -3.564 -3.951 -3.051
Se -6.058 0.395 0.873
Se -3.386 2.218 -4.608
Se -3.289 1.855 -0.458
Se -1.482 -0.368 -3.484
```

12.
Entry from Alexandria via LeMat-Bulk: an optimized crystal structure of SrCu2Se (PBE).

Results
Final energy (eV per formula unit): -14.0
Energy relative to the elements, uncorrected (meV per atom): -167
SG: Immm, No. 71

```
4
Lattice="5.665 -0.069 0.074 2.564 5.053 -0.074 -3.904 -2.840 2.967" Properties=species:S:1:pos:R:3 pbc="T T T"
Cu 0.207 0.126 0.000
Cu 3.907 2.366 0.000
Se 1.388 2.352 1.446
Sr 2.938 -0.208 1.520
```

13.
Entry from Alexandria via LeMat-Bulk: an optimized crystal structure of SrCu2Se (PBE).

Results
Final energy (eV per formula unit): -14.5
Energy relative to the elements, uncorrected (meV per atom): -278
SG: P4mm, No. 99

```
4
Lattice="-3.097 1.334 1.566 0.332 -2.466 2.763 3.554 4.274 3.389" Properties=species:S:1:pos:R:3 pbc="T T T"
Cu 0.431 0.519 0.411
Cu -0.761 0.182 2.757
Se 1.745 2.099 1.664
Sr 1.150 2.480 4.579
```

14.
Entry from Alexandria via LeMat-Bulk: an optimized crystal structure of SrCu2Se (PBE).

Results
Final energy (eV per formula unit): -15.1
Energy relative to the elements, uncorrected (meV per atom): -430
SG: Cm, No. 8

```
4
Lattice="-1.214 1.235 -3.822 -4.075 0.559 -0.834 -1.346 5.966 0.062" Properties=species:S:1:pos:R:3 pbc="T T T"
Cu -1.395 5.316 -0.132
Cu -4.962 6.001 -3.391
Se -3.278 4.416 -2.138
Sr -1.665 1.872 -1.170
```

15.
Entry from Alexandria via LeMat-Bulk: an optimized crystal structure of SrTbCuSe3 (PBE).

Results
Final energy (eV per formula unit): -30.1
Energy relative to the elements, uncorrected (meV per atom): -1546
SG: P2_1/m, No. 11

```
12
Lattice="4.098 0.000 0.000 0.000 8.593 0.048 0.000 -2.219 8.821" Properties=species:S:1:pos:R:3 pbc="T T T"
Sr 1.025 1.084 2.131
Sr 3.074 5.290 6.738
Tb 1.025 5.427 1.509
Tb 3.074 0.947 7.360
Cu 1.025 -0.607 5.154
Cu 3.074 6.980 3.715
Se 3.074 7.426 1.251
Se 1.025 -1.053 7.617
Se 1.025 5.608 4.335
Se 3.074 0.765 4.534
Se 3.074 3.389 1.472
Se 1.025 2.984 7.396
```

16.
Entry from Alexandria via LeMat-Bulk: an optimized crystal structure of Sr2TbCu2Se4 (PBE).

Results
Final energy (eV per formula unit): -41.5
Energy relative to the elements, uncorrected (meV per atom): -1263
SG: C2/m, No. 12

```
9
Lattice="-1.647 -3.594 -0.854 6.819 -3.126 0.005 -2.241 1.566 7.306" Properties=species:S:1:pos:R:3 pbc="T T T"
Sr 3.102 -1.861 1.850
Sr -0.171 -3.292 4.606
Tb 0.000 0.000 0.000
Cu 4.816 -4.995 2.153
Cu -1.886 -0.159 4.303
Se 0.187 -0.754 2.812
Se 2.743 -4.399 3.645
Se 4.112 -4.136 -0.101
Se -1.182 -1.017 6.557
```

17.
Entry from Alexandria via LeMat-Bulk: an optimized crystal structure of Sr3Tb3CuSe8 (PBE).

Results
Final energy (eV per formula unit): -75.8
Energy relative to the elements, uncorrected (meV per atom): -1661
SG: C2/m, No. 12

```
15
Lattice="8.353 0.000 0.000 -4.177 7.232 -0.025 0.000 -4.796 7.096" Properties=species:S:1:pos:R:3 pbc="T T T"
Sr 0.000 0.000 0.000
Sr -2.088 3.616 -0.013
Sr 2.088 3.616 -0.013
Tb 4.177 -2.398 3.548
Tb 2.088 1.218 3.535
Tb -2.088 1.218 3.535
Cu 0.000 -2.398 3.548
Se 0.000 2.417 1.895
Se 4.177 0.018 5.175
Se 4.177 2.452 1.978
Se 0.000 -0.016 5.093
Se 6.287 -1.211 1.984
Se -2.110 3.647 5.086
Se 2.067 -1.211 1.984
Se 2.110 3.647 5.086
```

18.
Entry from Alexandria via LeMat-Bulk: an optimized crystal structure of SrCuTe2Se4 (PBE).

Results
Final energy (eV per formula unit): -30.0
Energy relative to the elements, uncorrected (meV per atom): -495
SG: I-42m, No. 121

```
8
Lattice="-6.903 2.576 -1.377 -4.795 -3.457 -2.825 -5.019 -0.301 4.200" Properties=species:S:1:pos:R:3 pbc="T T T"
Sr 0.000 0.000 0.000
Cu -4.907 -1.879 0.687
Te -8.303 -1.380 -1.757
Te -8.415 0.198 1.755
Se -11.061 -0.544 1.267
Se -5.730 0.390 1.018
Se -2.938 -1.652 -0.727
Se -13.707 -0.557 -1.562
```

19.
Entry from Alexandria via LeMat-Bulk: an optimized crystal structure of SrThCuSe4 (PBE).

Results
Final energy (eV per formula unit): -36.8
Energy relative to the elements, uncorrected (meV per atom): -1385
SG: P2_1/m, No. 11

```
14
Lattice="7.158 0.000 0.083 0.000 5.986 0.000 -2.694 0.000 8.302" Properties=species:S:1:pos:R:3 pbc="T T T"
Sr 2.741 4.490 7.847
Sr 1.723 1.497 0.538
Th 4.064 4.490 3.689
Th 0.400 1.497 4.696
Cu 0.970 4.490 2.664
Cu 3.494 1.497 5.721
Se -1.860 3.053 6.075
Se 6.324 0.060 2.309
Se 6.324 2.934 2.309
Se -1.860 5.927 6.075
Se 2.768 4.490 1.088
Se 1.696 1.497 7.296
Se 1.420 4.490 5.014
Se 3.044 1.497 3.370
```

20.
Entry from Alexandria via LeMat-Bulk: an optimized crystal structure of Sr2TiCuSe5 (PBE).

Results
Final energy (eV per formula unit): -44.0
Energy relative to the elements, uncorrected (meV per atom): -1250
SG: Cmc2_1, No. 36

```
18
Lattice="-3.601 -0.637 1.456 -0.405 -4.348 -8.225 4.009 -10.466 5.336" Properties=species:S:1:pos:R:3 pbc="T T T"
Sr -0.175 -12.461 -0.563
Sr 2.240 -8.366 1.881
Sr 0.757 -4.506 -0.098
Sr -2.705 -5.865 -3.937
Ti -1.066 -8.600 -1.079
Ti -0.783 -2.017 -2.819
Cu 1.625 -10.775 4.626
Cu -0.144 -8.536 -4.092
Se -1.461 -3.269 -5.044
Se 0.823 -11.339 2.396
Se 1.280 -8.420 4.804
Se 1.343 -9.654 -0.903
Se -1.590 -10.135 -3.046
Se -0.466 -7.145 1.042
Se 0.178 -6.721 -2.500
Se -1.105 -7.484 -6.007
Se -2.067 -3.902 -1.498
Se -0.078 -0.954 -0.611
```